Entry 1:
## AlPt4Se (SCAN)

Data for a PBEsol-optimized structure of AlPt4Se.

Properties
Space group: No. 216
Size of the total moment, μB per formula unit: 0.00
DFT total energy, eV per atom: -51.25
Raw formation energy, eV per atom: 0.19

a b c (Å): 5.2260 5.2260 5.2260
angles (deg): 60.00 60.00 60.00
Last column: nearest neighbours and their distance in Å.
Fractional positions:
Al  0.0000  0.0000  0.0000  12 Pt 3.06, 4 Se 3.20
Pt  0.1243  0.6252  0.6252  6 Pt 2.61-2.62
Pt  0.6252  0.1243  0.6252  6 Pt 2.61-2.62
Pt  0.6252  0.6252  0.1243  6 Pt 2.61-2.62
Pt  0.6252  0.6252  0.6252  6 Pt 2.61-2.62
Se  0.2500  0.2500  0.2500  12 Pt 3.06, 4 Al 3.20

=====

Entry 2:
## AlPt2Se (SCAN)

Data for a PBEsol-optimized structure of AlPt2Se.

Properties
Space group: No. 216
Size of the total moment, μB per formula unit: 0.00
DFT total energy, eV per atom: -42.05
Raw formation energy, eV per atom: 0.00

a b c (Å): 4.4823 4.4823 4.4823
angles (deg): 60.00 60.00 60.00
Last column: nearest neighbours and their distance in Å.
Fractional positions:
Al  0.0000  0.0000  0.0000  4 Pt 2.74, 4 Se 2.74
Pt  0.5000  0.5000  0.5000  4 Se 2.74, 4 Pt 2.74
Pt  0.7500  0.7500  0.7500  4 Al 2.74, 4 Pt 2.74
Se  0.2500  0.2500  0.2500  4 Al 2.74, 4 Pt 2.74

=====

Entry 3:
## AlPtSe3 (SCAN)

Data for a PBEsol-optimized structure of AlPtSe3.

Properties
Space group: No. 221
Size of the total moment, μB per formula unit: 0.00
DFT total energy, eV per atom: -27.18
Raw formation energy, eV per atom: 0.45

a b c (Å): 4.8997 4.8997 4.8997
angles (deg): 90.00 90.00 90.00
Last column: nearest neighbours and their distance in Å.
Fractional positions:
Al  0.0000  0.0000  0.0000  12 Se 3.46
Pt  0.5000  0.5000  0.5000  6 Se 2.45
Se  0.0000  0.5000  0.5000  2 Pt 2.45
Se  0.5000  0.0000  0.5000  2 Pt 2.45
Se  0.5000  0.5000  0.0000  2 Pt 2.45

=====

Entry 4:
## Al2SiPt (SCAN)

Data for a PBEsol-optimized structure of Al2SiPt.

Properties
Space group: No. 10
Size of the total moment, μB per formula unit: 0.01
DFT total energy, eV per atom: -24.37
Raw formation energy, eV per atom: -0.44

a b c (Å): 3.6930 2.8823 5.4274
angles (deg): 90.00 92.12 90.00
Last column: nearest neighbours and their distance in Å.
Fractional positions:
Al  0.0020  0.0000  0.2517  4 Si 2.66-2.74, 4 Pt 2.68-2.74, 4 Al 2.70-2.88
Al  0.9980  0.0000  0.7483  4 Si 2.66-2.74, 4 Pt 2.68-2.74, 4 Al 2.70-2.88
Si  0.5000  0.5000  0.5000  8 Al 2.66-2.74, 2 Pt 2.71, 2 Si 2.88
Pt  0.5000  0.5000  0.0000  8 Al 2.68-2.74, 2 Si 2.71, 2 Pt 2.88

=====

Entry 5:
## AlSiPt3 (SCAN)

Data for a PBEsol-optimized structure of AlSiPt3.

Properties
Space group: No. 221
Size of the total moment, μB per formula unit: 0.00
DFT total energy, eV per atom: -45.56
Raw formation energy, eV per atom: 0.11

a b c (Å): 4.4637 4.4637 4.4637
angles (deg): 90.00 90.00 90.00
Last column: nearest neighbours and their distance in Å.
Fractional positions:
Al  0.0000  0.0000  0.0000  12 Pt 3.16
Si  0.5000  0.5000  0.5000  6 Pt 2.23
Pt  0.0000  0.5000  0.5000  2 Si 2.23
Pt  0.5000  0.0000  0.5000  2 Si 2.23
Pt  0.5000  0.5000  0.0000  2 Si 2.23

=====

Entry 6:
## Tb2Al6Si4Pt (SCAN)

Data for a PBEsol-optimized structure of Tb2Al6Si4Pt.

Properties
Space group: No. 166
Size of the total moment, μB per formula unit: 0.00
DFT total energy, eV per atom: -19.86
Raw formation energy, eV per atom: -0.60

a b c (Å): 16.9270 16.9270 16.9270
angles (deg): 14.04 14.04 14.04
Last column: nearest neighbours and their distance in Å.
Fractional positions:
Tb  0.0660  0.0660  0.0660  6 Si 2.91-2.94
Tb  0.9340  0.9340  0.9340  6 Si 2.91-2.94
Al  0.1823  0.1823  0.1823  3 Pt 2.51, 1 Si 2.61
Al  0.3149  0.3149  0.3149  4 Si 2.48-2.53
Al  0.4496  0.4496  0.4496  1 Pt 2.53, 3 Si 2.54
Al  0.5504  0.5504  0.5504  1 Pt 2.53, 3 Si 2.54
Al  0.6851  0.6851  0.6851  4 Si 2.48-2.53
Al  0.8177  0.8177  0.8177  3 Pt 2.51, 1 Si 2.61
Si  0.2343  0.2343  0.2343  4 Al 2.54-2.61
Si  0.3653  0.3653  0.3653  4 Al 2.48-2.53
Si  0.6347  0.6347  0.6347  4 Al 2.48-2.53
Si  0.7657  0.7657  0.7657  4 Al 2.54-2.61
Pt  0.5000  0.5000  0.5000  8 Al 2.51-2.53

=====

Entry 7:
## SrAl2Pt (SCAN)

Data for a PBEsol-optimized structure of SrAl2Pt.

Properties
Space group: No. 166
Formation energy, eV per atom: -0.90
Size of the total moment, μB per formula unit: 0.52
DFT total energy, eV per atom: -27.90

a b c (Å): 6.1369 6.1369 6.1369
angles (deg): 40.98 40.98 40.98
Last column: nearest neighbours and their distance in Å.
Fractional positions:
Sr  0.0000  0.0000  0.0000  8 Al 3.35-3.36, 6 Pt 3.75
Al  0.1990  0.1990  0.1990  3 Pt 2.54, 3 Al 2.71
Al  0.8010  0.8010  0.8010  3 Pt 2.54, 3 Al 2.71
Pt  0.5000  0.5000  0.5000  6 Al 2.54

=====

Entry 8:
## SrAl2Pt (SCAN)

Data for a PBEsol-optimized structure of SrAl2Pt.

Properties
Space group: No. 71
Formation energy, eV per atom: -0.49
Size of the total moment, μB per formula unit: 0.00
DFT total energy, eV per atom: -27.48

a b c (Å): 5.9811 5.9811 5.9811
angles (deg): 150.32 127.75 61.24
Last column: nearest neighbours and their distance in Å.
Fractional positions:
Sr  0.0000  0.0000  0.0000  4 Pt 3.05, 2 Sr 3.06, 8 Al 3.37-3.41
Al  0.2958  0.7958  0.5000  2 Pt 2.60
Al  0.7042  0.2042  0.5000  2 Pt 2.60
Pt  0.5000  0.5000  0.0000  4 Al 2.60

=====

Entry 9:
## Sr2AlPt (SCAN)

Data for a PBEsol-optimized structure of Sr2AlPt.

Properties
Space group: No. 38
Formation energy, eV per atom: -0.73
Size of the total moment, μB per formula unit: 0.00
DFT total energy, eV per atom: -31.35

a b c (Å): 4.2974 6.1622 6.1622
angles (deg): 44.97 90.00 90.00
Last column: nearest neighbours and their distance in Å.
Fractional positions:
Sr  0.0000  0.0000  0.0000  3 Al 3.23-3.49, 4 Pt 3.35
Sr  0.5000  0.2902  0.2902  3 Pt 3.29-3.40, 4 Al 3.37
Al  0.0000  0.6933  0.6933  2 Pt 2.46
Pt  0.5000  0.5889  0.5889  2 Al 2.46

=====

Entry 10:
## SrAl2Pt (SCAN)

Data for a PBEsol-optimized structure of SrAl2Pt.

Properties
Space group: No. 160
Formation energy, eV per atom: -0.92
Size of the total moment, μB per formula unit: 0.00
DFT total energy, eV per atom: -27.91

a b c (Å): 6.1565 6.1565 6.1565
angles (deg): 41.33 41.33 41.33
Last column: nearest neighbours and their distance in Å.
Fractional positions:
Sr  0.0000  0.0000  0.0000  1 Pt 3.09, 7 Al 3.28-3.43
Al  0.1947  0.1947  0.1947  3 Pt 2.62, 3 Al 2.71
Al  0.4670  0.4670  0.4670  3 Pt 2.52, 3 Al 2.71
Pt  0.8171  0.8171  0.8171  6 Al 2.52-2.62

=====

Entry 11:
## SrAl2Pt2 (SCAN)

Data for a PBEsol-optimized structure of SrAl2Pt2.

Properties
Space group: No. 139
Formation energy, eV per atom: -1.23
Size of the total moment, μB per formula unit: 0.00
DFT total energy, eV per atom: -36.86

a b c (Å): 6.3066 6.3066 6.3066
angles (deg): 141.31 141.31 55.87
Last column: nearest neighbours and their distance in Å.
Fractional positions:
Sr  0.0000  0.0000  0.0000  8 Pt 3.26, 8 Al 3.48
Al  0.2500  0.7500  0.5000  4 Pt 2.52
Al  0.7500  0.2500  0.5000  4 Pt 2.52
Pt  0.3758  0.3758  0.0000  4 Al 2.52, 1 Pt 2.77
Pt  0.6242  0.6242  0.0000  4 Al 2.52, 1 Pt 2.77

=====

Entry 12:
## Sr2AlPt (SCAN)

Data for a PBEsol-optimized structure of Sr2AlPt.

Properties
Space group: No. 123
Formation energy, eV per atom: -0.45
Size of the total moment, μB per formula unit: 0.00
DFT total energy, eV per atom: -31.07

a b c (Å): 3.7432 3.7432 7.4739
angles (deg): 90.00 90.00 90.00
Last column: nearest neighbours and their distance in Å.
Fractional positions:
Sr  0.0000  0.0000  0.2272  4 Pt 3.14, 4 Al 3.34, 1 Sr 3.40
Sr  0.0000  0.0000  0.7728  4 Pt 3.14, 4 Al 3.34, 1 Sr 3.40
Al  0.5000  0.5000  0.5000  8 Sr 3.34, 2 Pt 3.74
Pt  0.5000  0.5000  0.0000  8 Sr 3.14